Cr2HgW | the Alexandria database | PBE | optimized geometry; symmetry = No. 119; energy = -7.4543 eV/atom; calculated volume = 61 Å³/f.u.; magnetic moment = 0.10 μB/atom
1.0
3.822 0.000 0.000
0.000 3.822 0.000
0.000 0.000 8.309
Cr Hg W
4 2 2
Cartesian
0.000 0.000 0.000
0.000 1.911 2.077
1.911 0.000 6.232
1.911 1.911 4.155
0.000 1.911 6.232
1.911 0.000 2.077
0.000 0.000 4.155
1.911 1.911 0.000

***

BaZnIn3 | the Alexandria database | PBE | optimized geometry; symmetry = No. 221; energy = -2.3784 eV/atom; calculated volume = 156 Å³/f.u.; magnetic moment = 0.00 μB/atom
1.0
5.388 0.000 0.000
0.000 5.388 0.000
0.000 0.000 5.388
Ba Zn In
1 1 3
Cartesian
0.000 0.000 0.000
2.694 2.694 2.694
0.000 2.694 2.694
2.694 0.000 2.694
2.694 2.694 0.000

***

CaMn2Au | the Alexandria database | PBE | optimized geometry; symmetry = No. 123; energy = -5.6439 eV/atom; calculated volume = 84 Å³/f.u.; magnetic moment = 2.18 μB/atom
1.0
3.461 0.000 0.000
0.000 3.461 0.000
0.000 0.000 7.047
Ca Mn Au
1 2 1
Cartesian
0.000 0.000 0.000
1.731 1.731 2.163
1.731 1.731 4.884
0.000 0.000 3.524

***

LaGdYSc | the Alexandria database | PBE | optimized geometry; symmetry = No. 216; energy = -7.8583 eV/atom; calculated volume = 127 Å³/f.u.; magnetic moment = 1.86 μB/atom
1.0
7.974 0.000 0.000
0.000 7.974 0.000
0.000 0.000 7.974
La Gd Y Sc
4 4 4 4
Cartesian
0.000 0.000 0.000
0.000 3.987 3.987
3.987 0.000 3.987
3.987 3.987 0.000
0.000 0.000 3.987
0.000 3.987 0.000
3.987 0.000 0.000
3.987 3.987 3.987
1.993 1.993 5.980
1.993 5.980 1.993
5.980 1.993 1.993
5.980 5.980 5.980
1.993 1.993 1.993
1.993 5.980 5.980
5.980 1.993 5.980
5.980 5.980 1.993

***

TmZnIn6 | the Alexandria database | PBE | optimized geometry; symmetry = No. 65; energy = -2.8719 eV/atom; calculated volume = 196 Å³/f.u.; magnetic moment = 0.00 μB/atom
1.0
9.528 0.000 0.000
0.000 9.588 0.000
0.000 0.000 4.292
Tm Zn In
2 2 12
Cartesian
0.000 0.000 0.000
4.764 4.794 0.000
0.000 4.794 0.000
4.764 0.000 0.000
0.000 2.513 2.146
0.000 7.074 2.146
2.246 4.794 2.146
2.382 2.397 0.000
2.382 7.191 0.000
2.518 0.000 2.146
4.764 2.280 2.146
4.764 7.307 2.146
7.010 0.000 2.146
7.146 2.397 0.000
7.146 7.191 0.000
7.283 4.794 2.146

***

InSe2 | the Alexandria database | PBE | optimized geometry; symmetry = No. 129; energy = -3.4295 eV/atom; calculated volume = 74 Å³/f.u.; formation energy (no corrections) = -0.194 eV per atom; magnetic moment = 0.00 μB/atom
1.0
3.893 0.000 0.000
0.000 3.893 0.000
0.000 0.000 9.722
In Se
2 4
Cartesian
0.973 0.973 1.927
2.920 2.920 7.795
0.973 0.973 8.419
0.973 2.920 4.861
2.920 0.973 4.861
2.920 2.920 1.304

***

Sr3VPt | the Alexandria database | PBE | optimized geometry; symmetry = No. 221; polymorph energy (0 for the lowest one) = 0.0000 eV/atom; energy = -3.8786 eV/atom; calculated volume = 200 Å³/f.u.; magnetic moment = 0.88 μB/atom
1.0
5.845 0.000 0.000
0.000 5.845 0.000
0.000 0.000 5.845
Sr V Pt
3 1 1
Cartesian
0.000 0.000 2.923
0.000 2.923 0.000
2.923 0.000 0.000
2.923 2.923 2.923
0.000 0.000 0.000

***

Cs3BaAg | the Alexandria database | PBE | optimized geometry; symmetry = No. 221; polymorph energy (0 for the lowest one) = 0.0000 eV/atom; energy = -1.2801 eV/atom; calculated volume = 402 Å³/f.u.; magnetic moment = 0.35 μB/atom
1.0
7.379 0.000 0.000
0.000 7.379 0.000
0.000 0.000 7.379
Cs Ba Ag
3 1 1
Cartesian
0.000 0.000 3.689
0.000 3.689 0.000
3.689 0.000 0.000
3.689 3.689 3.689
0.000 0.000 0.000

***

CsPrTe2Au | the Alexandria database | PBE | optimized geometry; symmetry = No. 13; energy = -3.9516 eV/atom; calculated volume = 204 Å³/f.u.; formation energy (no corrections) = -0.913 eV per atom; magnetic moment = 0.00 μB/atom
1.0
9.377 0.000 0.000
0.000 5.062 0.000
-1.325 0.000 8.613
Cs Pr Te Au
2 2 4 2
Cartesian
-0.331 0.937 2.153
-0.993 4.125 6.460
3.695 2.505 6.460
4.357 2.556 2.153
1.238 1.589 8.306
1.900 3.473 3.999
6.152 1.589 4.614
6.814 3.473 0.307
4.688 0.000 0.000
4.026 0.000 4.307

***

BaFe2Co | the Alexandria database | PBE | optimized geometry; symmetry = No. 12; polymorph energy (0 for the lowest one) = 0.7618 eV/atom; energy = -5.3996 eV/atom; calculated volume = 70 Å³/f.u.; magnetic moment = 1.62 μB/atom
1.0
5.474 0.000 0.000
0.000 9.125 0.000
-1.149 0.000 2.818
Ba Fe Co
2 4 2
Cartesian
0.000 0.000 0.000
2.737 4.563 0.000
0.794 2.281 1.409
0.794 6.844 1.409
3.531 2.281 1.409
3.531 6.844 1.409
0.000 4.563 0.000
2.737 0.000 0.000

***

Li3Zn | the Alexandria database | PBE | optimized geometry; symmetry = No. 63; energy = -1.8467 eV/atom; calculated volume = 66 Å³/f.u.; magnetic moment = 0.00 μB/atom
1.0
7.628 0.000 0.000
0.000 8.072 0.000
0.000 0.000 4.278
Li Zn
12 4
Cartesian
0.000 1.239 1.069
0.000 6.833 3.208
1.863 0.995 3.208
1.863 7.077 1.069
1.951 3.041 1.069
1.951 5.031 3.208
3.814 2.797 3.208
3.814 5.276 1.069
5.677 3.041 1.069
5.677 5.031 3.208
5.764 0.995 3.208
5.764 7.077 1.069
0.000 3.155 3.208
0.000 4.917 1.069
3.814 0.881 1.069
3.814 7.191 3.208

***

NbZnGe2Te | the Alexandria database | PBE | optimized geometry; symmetry = No. 123; energy = -3.9897 eV/atom; calculated volume = 115 Å³/f.u.; formation energy (no corrections) = 0.754 eV per atom; magnetic moment = 0.38 μB/atom
1.0
4.664 0.000 0.000
0.000 4.664 0.000
0.000 0.000 5.298
Nb Zn Ge Te
1 1 2 1
Cartesian
0.000 0.000 0.000
0.000 0.000 2.649
0.000 2.332 2.649
2.332 0.000 2.649
2.332 2.332 0.000

***

TmThHgPb | the Alexandria database | PBE | optimized geometry; symmetry = No. 216; energy = -4.2593 eV/atom; calculated volume = 112 Å³/f.u.; magnetic moment = 0.00 μB/atom
1.0
7.642 0.000 0.000
0.000 7.642 0.000
0.000 0.000 7.642
Tm Th Hg Pb
4 4 4 4
Cartesian
0.000 0.000 0.000
0.000 3.821 3.821
3.821 0.000 3.821
3.821 3.821 0.000
0.000 0.000 3.821
0.000 3.821 0.000
3.821 0.000 0.000
3.821 3.821 3.821
1.911 1.911 1.911
1.911 5.732 5.732
5.732 1.911 5.732
5.732 5.732 1.911
1.911 1.911 5.732
1.911 5.732 1.911
5.732 1.911 1.911
5.732 5.732 5.732

***

Sr8Li | the Alexandria database | PBE | optimized geometry; symmetry = No. 139; polymorph energy (0 for the lowest one) = 0.0062 eV/atom; energy = -1.6730 eV/atom; calculated volume = 463 Å³/f.u.; magnetic moment = 0.00 μB/atom
1.0
-6.295 6.295 2.921
6.295 -6.295 2.921
6.295 6.295 -2.921
Sr Li
8 1
Cartesian
4.149 0.000 0.000
8.440 0.000 0.000
0.000 4.149 0.000
4.260 4.260 0.000
2.034 -2.034 2.921
-2.034 2.034 2.921
2.034 2.034 2.921
0.000 8.440 0.000
0.000 0.000 0.000

***

NaMg3B | the Alexandria database | PBE | optimized geometry; symmetry = No. 221; polymorph energy (0 for the lowest one) = 1.3362 eV/atom; energy = -0.9788 eV/atom; calculated volume = 143 Å³/f.u.; magnetic moment = 0.00 μB/atom
1.0
5.228 0.000 0.000
0.000 5.228 0.000
0.000 0.000 5.228
Na Mg B
1 3 1
Cartesian
0.000 0.000 0.000
0.000 0.000 2.614
0.000 2.614 0.000
2.614 0.000 0.000
2.614 2.614 2.614

***

CdCuTc2 | the Alexandria database | PBE | optimized geometry; symmetry = No. 8; energy = -6.1067 eV/atom; calculated volume = 62 Å³/f.u.; magnetic moment = 0.00 μB/atom
1.0
8.891 0.000 0.000
0.000 2.745 0.000
-0.604 0.000 5.064
Cd Cu Tc
2 2 4
Cartesian
0.000 0.000 0.000
4.445 1.373 0.000
1.752 0.000 3.953
6.198 1.373 3.953
-0.223 1.373 2.545
2.064 1.373 1.621
4.222 0.000 2.545
6.509 0.000 1.621

***

Nd2PPd | the Alexandria database | PBE | optimized geometry; symmetry = No. 166; polymorph energy (0 for the lowest one) = 0.4709 eV/atom; energy = -5.5682 eV/atom; calculated volume = 115 Å³/f.u.; magnetic moment = 0.00 μB/atom
1.0
3.875 0.000 0.000
-1.937 3.355 0.000
0.000 0.000 26.647
Nd P Pd
6 3 3
Cartesian
0.000 0.000 2.740
0.000 0.000 23.907
0.000 2.237 15.025
0.000 2.237 20.504
1.937 1.118 6.143
1.937 1.118 11.622
0.000 0.000 13.323
0.000 2.237 4.441
1.937 1.118 22.206
0.000 0.000 0.000
0.000 2.237 17.765
1.937 1.118 8.882

***

MgSiRh2 | the Alexandria database | PBE | optimized geometry; symmetry = No. 25; energy = -5.8960 eV/atom; calculated volume = 57 Å³/f.u.; formation energy (no corrections) = -0.466 eV per atom; magnetic moment = 0.00 μB/atom
1.0
2.869 0.000 0.000
0.000 3.836 0.000
0.000 0.000 5.205
Mg Si Rh
1 1 2
Cartesian
0.000 0.000 0.000
1.434 1.918 3.600
0.000 0.000 2.679
1.434 1.918 0.979

***

YZrPa | the Alexandria database | PBE | optimized geometry; symmetry = No. 71; polymorph energy (0 for the lowest one) = 0.0414 eV/atom; energy = -7.9560 eV/atom; calculated volume = 81 Å³/f.u.; magnetic moment = 0.00 μB/atom
1.0
5.333 0.000 0.000
0.000 6.451 0.000
0.000 0.000 9.470
Y Zr Pa
4 4 4
Cartesian
0.000 0.000 1.580
0.000 0.000 7.890
2.667 3.225 3.155
2.667 3.225 6.314
0.000 3.225 1.507
0.000 3.225 7.963
2.667 0.000 3.228
2.667 0.000 6.242
0.000 1.355 4.735
0.000 5.096 4.735
2.667 1.870 0.000
2.667 4.581 0.000

***

Rb12S5I3 | the Alexandria database | PBE | optimized geometry; symmetry = No. 230; energy = -2.8535 eV/atom; calculated volume = 1061 Å³/f.u.; formation energy (no corrections) = -1.009 eV per atom; magnetic moment = 0.07 μB/atom
1.0
-10.198 10.198 10.198
10.198 -10.198 10.198
10.198 10.198 -10.198
Rb S I
48 20 12
Cartesian
2.988 -0.600 1.140
12.309 6.239 -5.699
13.186 0.600 1.140
12.309 -3.959 5.699
9.598 -1.140 2.988
15.897 -2.111 3.959
1.140 2.988 -0.600
14.157 4.499 -2.111
6.239 5.699 -2.111
9.058 2.988 0.600
-0.600 1.140 2.988
5.699 -2.111 6.239
9.598 9.058 -2.988
5.699 2.111 3.959
6.239 -5.699 12.309
9.058 -2.988 9.598
3.959 5.699 2.111
11.338 7.210 0.600
5.699 12.309 -3.959
9.598 1.140 7.210
2.988 9.598 -1.140
12.309 3.959 4.499
2.111 3.959 5.699
2.988 0.600 9.058
7.210 9.598 1.140
8.087 6.239 4.499
-2.111 6.239 5.699
7.210 0.600 11.338
0.600 9.058 2.988
4.499 -2.111 14.157
-1.140 2.988 9.598
6.239 4.499 8.087
1.140 13.186 0.600
3.959 15.897 -2.111
4.499 8.087 6.239
0.600 1.140 13.186
4.499 12.309 3.959
10.798 9.058 7.210
1.140 7.210 9.598
3.959 4.499 12.309
-3.959 5.699 12.309
9.058 7.210 10.798
-5.699 12.309 6.239
0.600 11.338 7.210
-2.111 14.157 4.499
-2.988 9.598 9.058
-2.111 3.959 15.897
7.210 10.798 9.058
0.000 0.000 0.000
5.099 5.099 -5.099
5.099 -5.099 5.099
10.198 0.000 0.000
15.297 2.550 0.000
10.198 -5.099 7.649
7.649 10.198 -5.099
7.649 0.000 5.099
5.099 7.649 0.000
10.198 5.099 2.550
-5.099 5.099 5.099
0.000 10.198 0.000
0.000 0.000 10.198
5.099 5.099 5.099
0.000 5.099 7.649
5.099 2.550 10.198
2.550 10.198 5.099
2.550 0.000 15.297
0.000 15.297 2.550
-5.099 7.649 10.198
5.099 2.550 0.000
10.198 5.099 -2.550
2.550 0.000 5.099
12.748 0.000 5.099
0.000 5.099 2.550
5.099 -2.550 10.198
5.099 12.748 0.000
10.198 5.099 7.649
-2.550 10.198 5.099
7.649 10.198 5.099
0.000 5.099 12.748
5.099 7.649 10.198